# 1
VASP calculation (PBE) on a relaxed DyZn10Cd crystal.

a b c (Å): 4.286 5.222 9.192
angles (deg): 90.00 90.00 90.00
Atoms (fractional coordinates):
Dy 0.000 0.000 0.000
Zn 0.000 0.000 0.341
Zn 0.000 0.000 0.659
Zn 0.000 0.500 0.185
Zn 0.000 0.500 0.815
Zn 0.500 0.000 0.500
Zn 0.500 0.239 0.236
Zn 0.500 0.239 0.764
Zn 0.500 0.500 0.000
Zn 0.500 0.761 0.236
Zn 0.500 0.761 0.764
Cd 0.000 0.500 0.500

E_form (eV per atom): -0.109
Energy (eV/atom): -1.630
SG: Pmmm, No. 47
Volume (Å³/cell): 205.7

# 2
VASP calculation (PBE) on a relaxed DyZn2Cd3 crystal.

a b c (Å): 8.502 8.502 7.282
angles (deg): 110.38 110.38 30.97
Atoms (fractional coordinates):
Dy 0.118 0.118 0.184
Dy 0.882 0.882 0.816
Zn 0.237 0.237 0.658
Zn 0.485 0.485 0.155
Zn 0.515 0.515 0.845
Zn 0.763 0.763 0.342
Cd 0.068 0.068 0.702
Cd 0.307 0.307 0.065
Cd 0.371 0.371 0.497
Cd 0.629 0.629 0.503
Cd 0.693 0.693 0.935
Cd 0.932 0.932 0.298

E_form (eV per atom): -0.192
Energy (eV/atom): -1.842
SG: C2/m, No. 12
Volume (Å³/cell): 252.6

# 3
VASP calculation (PBE) on a relaxed DyZn2Cd4 crystal.

a b c (Å): 8.528 8.528 4.049
angles (deg): 90.00 90.00 149.59
Atoms (fractional coordinates):
Dy 0.000 0.000 0.000
Zn 0.428 0.572 0.500
Zn 0.572 0.428 0.500
Cd 0.171 0.829 0.500
Cd 0.316 0.684 0.000
Cd 0.684 0.316 0.000
Cd 0.829 0.171 0.500

E_form (eV per atom): -0.168
Energy (eV/atom): -1.713
SG: Cmmm, No. 65
Volume (Å³/cell): 149.1

# 4
VASP calculation (PBE) on a relaxed Dy3Zn2Cd4 crystal.

a b c (Å): 5.919 5.919 8.999
angles (deg): 114.84 114.84 48.09
Atoms (fractional coordinates):
Dy 0.000 0.000 0.000
Dy 0.332 0.332 0.338
Dy 0.668 0.668 0.662
Zn 0.393 0.393 0.723
Zn 0.607 0.607 0.277
Cd 0.055 0.055 0.383
Cd 0.281 0.281 0.940
Cd 0.719 0.719 0.060
Cd 0.945 0.945 0.617

E_form (eV per atom): -0.311
Energy (eV/atom): -2.535
SG: C2/m, No. 12
Volume (Å³/cell): 208.3

# 5
VASP calculation (PBE) on a relaxed Dy2ZnCd crystal.

a b c (Å): 3.596 3.596 7.549
angles (deg): 90.00 90.00 90.00
Atoms (fractional coordinates):
Dy 0.000 0.000 0.230
Dy 0.000 0.000 0.770
Zn 0.500 0.500 0.000
Cd 0.500 0.500 0.500

E_form (eV per atom): -0.332
Energy (eV/atom): -3.180
SG: P4/mmm, No. 123
Volume (Å³/cell): 97.6

# 6
VASP calculation (PBE) on a relaxed Dy2ZnCd crystal.

a b c (Å): 9.667 9.667 9.667
angles (deg): 21.46 21.46 21.46
Atoms (fractional coordinates):
Dy 0.244 0.244 0.244
Dy 0.756 0.756 0.756
Zn 0.500 0.500 0.500
Cd 0.000 0.000 0.000

E_form (eV per atom): -0.143
Energy (eV/atom): -2.992
SG: R-3m, No. 166
Volume (Å³/cell): 105.9

# 7
VASP calculation (PBE) on a relaxed Dy2Zn3Cd crystal.

a b c (Å): 8.518 8.518 8.518
angles (deg): 154.93 149.34 40.00
Atoms (fractional coordinates):
Dy 0.000 0.000 0.000
Dy 0.774 0.274 0.500
Zn 0.183 0.683 0.500
Zn 0.337 0.837 0.500
Zn 0.434 0.434 0.000
Cd 0.599 0.599 0.000

E_form (eV per atom): -0.258
Energy (eV/atom): -2.582
SG: Imm2, No. 44
Volume (Å³/cell): 133.3

# 8
VASP calculation (PBE) on a relaxed DyZn17Cd crystal.

a b c (Å): 6.823 6.823 6.823
angles (deg): 81.87 81.87 81.87
Atoms (fractional coordinates):
Dy 0.000 0.000 0.000
Zn 0.021 0.342 0.637
Zn 0.021 0.637 0.342
Zn 0.184 0.684 0.684
Zn 0.238 0.238 0.238
Zn 0.324 0.324 0.834
Zn 0.324 0.834 0.324
Zn 0.342 0.021 0.637
Zn 0.342 0.637 0.021
Zn 0.438 0.438 0.438
Zn 0.494 0.991 0.991
Zn 0.637 0.021 0.342
Zn 0.637 0.342 0.021
Zn 0.684 0.184 0.684
Zn 0.684 0.684 0.184
Zn 0.834 0.324 0.324
Zn 0.991 0.494 0.991
Zn 0.991 0.991 0.494
Cd 0.734 0.734 0.734

E_form (eV per atom): -0.094
Energy (eV/atom): -1.524
SG: R3m, No. 160
Volume (Å³/cell): 308.8

# 9
VASP calculation (PBE) on a relaxed Dy4Zn3Cd2 crystal.

a b c (Å): 5.603 5.603 8.861
angles (deg): 103.73 103.73 51.98
Atoms (fractional coordinates):
Dy 0.073 0.073 0.347
Dy 0.365 0.365 0.102
Dy 0.635 0.635 0.898
Dy 0.927 0.927 0.653
Zn 0.000 0.000 0.000
Zn 0.375 0.375 0.442
Zn 0.625 0.625 0.558
Cd 0.258 0.258 0.722
Cd 0.742 0.742 0.278

E_form (eV per atom): -0.266
Energy (eV/atom): -2.940
SG: C2/m, No. 12
Volume (Å³/cell): 211.3

# 10
VASP calculation (PBE) on a relaxed Dy4Zn3Cd crystal.

a b c (Å): 5.082 5.082 7.317
angles (deg): 90.00 90.00 90.00
Atoms (fractional coordinates):
Dy 0.000 0.500 0.240
Dy 0.000 0.500 0.760
Dy 0.500 0.000 0.240
Dy 0.500 0.000 0.760
Zn 0.000 0.000 0.000
Zn 0.000 0.000 0.500
Zn 0.500 0.500 0.000
Cd 0.500 0.500 0.500

E_form (eV per atom): -0.325
Energy (eV/atom): -3.218
SG: P4/mmm, No. 123
Volume (Å³/cell): 189.0

# 11
VASP calculation (PBE) on a relaxed Dy3Zn4Cd4 crystal.

a b c (Å): 8.695 8.695 8.695
angles (deg): 151.99 128.01 60.09
Atoms (fractional coordinates):
Dy 0.000 0.000 0.000
Dy 0.380 0.880 0.500
Dy 0.620 0.120 0.500
Zn 0.228 0.228 0.000
Zn 0.323 0.500 0.823
Zn 0.677 0.500 0.177
Zn 0.772 0.772 0.000
Cd 0.026 0.333 0.693
Cd 0.359 0.667 0.693
Cd 0.641 0.333 0.307
Cd 0.974 0.667 0.307

E_form (eV per atom): -0.253
Energy (eV/atom): -2.304
SG: Immm, No. 71
Volume (Å³/cell): 241.4

# 12
VASP calculation (PBE) on a relaxed Dy2Zn3Cd6 crystal.

a b c (Å): 8.019 8.019 4.431
angles (deg): 90.00 90.00 120.00
Atoms (fractional coordinates):
Dy 0.333 0.667 0.000
Dy 0.667 0.333 0.000
Zn 0.000 0.607 0.500
Zn 0.393 0.393 0.500
Zn 0.607 0.000 0.500
Cd 0.000 0.287 0.500
Cd 0.000 0.789 0.000
Cd 0.211 0.211 0.000
Cd 0.287 0.000 0.500
Cd 0.713 0.713 0.500
Cd 0.789 0.000 0.000

E_form (eV per atom): -0.147
Energy (eV/atom): -1.831
SG: P-62m, No. 189
Volume (Å³/cell): 246.7

Question: Which formula does entry 4 have?
Answer: Dy3Zn2Cd4